# NiAgC3 PBEsol optimized geometry
data_NiAgC3
_chemical_formula_sum 'Ni1 Ag1 C3'
_space_group_name_H-M_alt 'P m -3 m'
_space_group_IT_number 221
_space_group_name_Hall '-P 4 2 3'
_cell_length_a 3.762
_cell_length_b 3.762
_cell_length_c 3.762
_cell_angle_alpha 90.00
_cell_angle_beta 90.00
_cell_angle_gamma 90.00
loop_
_atom_site_label
_atom_site_fract_x
_atom_site_fract_y
_atom_site_fract_z
Ni1 0.000 0.000 0.000
Ag1 0.500 0.500 0.500
C1 0.000 0.000 0.500
# Volume = 53 Å³ per cell
# Calculated formation energy = 1121 kJ/mol of formula units

---

# Ag2CO PBEsol optimized geometry
data_Ag2CO
_chemical_formula_sum 'Ag8 C4 O4'
_space_group_name_H-M_alt 'I -4 2 d'
_space_group_IT_number 122
_space_group_name_Hall 'I -4 2bw'
_cell_length_a 5.529
_cell_length_b 5.529
_cell_length_c 6.780
_cell_angle_alpha 90.00
_cell_angle_beta 90.00
_cell_angle_gamma 90.00
loop_
_atom_site_label
_atom_site_fract_x
_atom_site_fract_y
_atom_site_fract_z
Ag1 0.230 0.250 0.125
C1 0.000 0.000 0.000
O1 0.000 0.000 0.500
# Volume = 207 Å³ per cell
# Formation energy without anion corrections = 1015 meV per atom

---

# AgP3C PBEsol optimized geometry
data_AgP3C
_chemical_formula_sum 'Ag1 P3 C1'
_space_group_name_H-M_alt 'P m -3 m'
_space_group_IT_number 221
_space_group_name_Hall '-P 4 2 3'
_cell_length_a 4.693
_cell_length_b 4.693
_cell_length_c 4.693
_cell_angle_alpha 90.00
_cell_angle_beta 90.00
_cell_angle_gamma 90.00
loop_
_atom_site_label
_atom_site_fract_x
_atom_site_fract_y
_atom_site_fract_z
Ag1 0.000 0.000 0.000
P1 0.000 0.000 0.500
C1 0.500 0.500 0.500
# Volume = 103 Å³ per cell
# Calculated formation energy = 1235 kJ/mol of formula units

---

# AgPb3C PBEsol optimized geometry
data_AgPb3C
_chemical_formula_sum 'Ag1 Pb3 C1'
_space_group_name_H-M_alt 'P m -3 m'
_space_group_IT_number 221
_space_group_name_Hall '-P 4 2 3'
_cell_length_a 5.352
_cell_length_b 5.352
_cell_length_c 5.352
_cell_angle_alpha 90.00
_cell_angle_beta 90.00
_cell_angle_gamma 90.00
loop_
_atom_site_label
_atom_site_fract_x
_atom_site_fract_y
_atom_site_fract_z
Ag1 0.000 0.000 0.000
Pb1 0.000 0.000 0.500
C1 0.500 0.500 0.500
# Volume = 153 Å³ per cell
# Calculated formation energy = 841 kJ/mol of formula units